VASP calculation (PBE) on a geometry-optimized AlSb2P structure.

Cell: 8.216 8.216 8.216 Å, 28.09 28.09 28.09°
Positions (direct):
Sb  0.992  0.992  0.992
Sb  0.253  0.253  0.253
Al  0.472  0.472  0.472
P  0.783  0.783  0.783

DOS at the Fermi energy   0.2643 states/eV/atom
DFT total energy   -4.3446 eV/atom
Distance to the lowest polymorph of the same formula   31 meV/atom

VASP calculation (PBE) on a geometry-optimized CaSm6In6 structure.

Cell: 6.418 6.418 10.906 Å, 90.00 90.00 119.99°
Each line ends with the local moment (μB).
Positions (direct):
Ca  0.000  0.000  0.000  0.00
Sm  0.000  0.000  0.666  0.16
Sm  0.000  0.000  0.334  0.16
Sm  0.333  0.667  0.000  -0.01
Sm  0.667  0.333  0.000  -0.01
Sm  0.333  0.667  0.500  0.06
Sm  0.667  0.333  0.500  0.06
In  0.000  0.500  0.754  0.00
In  0.500  0.000  0.754  0.00
In  0.500  0.500  0.754  0.00
In  0.500  0.000  0.246  0.00
In  0.000  0.500  0.246  0.00
In  0.500  0.500  0.246  0.00

Formation energy   -32.5 kJ/mol of atoms
DOS at the Fermi energy   1.1446 states/eV/atom
DFT total energy   -3.9330 eV/atom

VASP calculation (PBE) on a geometry-optimized Mg2CuSe2 structure.

Cell: 5.514 5.283 7.881 Å, 72.26 90.00 90.00°
Positions (direct):
Mg  0.250  0.251  0.453
Mg  0.750  0.749  0.547
Mg  0.250  0.761  0.897
Mg  0.750  0.239  0.103
Cu  0.250  0.289  0.793
Cu  0.750  0.711  0.207
Se  0.250  0.234  0.103
Se  0.750  0.766  0.897
Se  0.250  0.704  0.563
Se  0.750  0.296  0.437

DOS at the Fermi energy   0.4186 states/eV/atom
DFT total energy   -3.4116 eV/atom
Distance to the lowest polymorph of the same formula   135 meV/atom

VASP calculation (PBE) on a geometry-optimized KBaTl2 structure.

Cell: 9.620 9.620 7.749 Å, 51.63 51.63 90.00°
Positions (direct):
K  0.500  0.500  0.000
K  0.250  0.750  0.500
Tl  0.623  0.125  0.250
Tl  0.127  0.625  0.250
Tl  0.375  0.377  0.750
Tl  0.875  0.873  0.750
Ba  0.000  0.000  0.000
Ba  0.750  0.250  0.500

Formation energy   1.0 kJ/mol of atoms
DOS at the Fermi energy   1.4226 states/eV/atom
DFT total energy   -1.9278 eV/atom
Distance to the lowest polymorph of the same formula   226 meV/atom

> Which of these has the highest DFT total energy?

KBaTl2

> What is the formula in the second record?

CaSm6In6

> What is the DOS at the Fermi energy in the second record?

1.1446 states/eV/atom